[1]
First-principles (meta-GGA SCAN) data for a crystal of VIn3Se4 relaxed with PBEsol, as listed in the Alexandria database.

```
VIn3Se4
1.0
6.486 0.000 0.000
-2.162 6.115 0.000
-2.162 -3.057 5.295
V Se In
1 4 3
direct
0.000 0.000 0.000
0.649 0.649 0.649
0.000 0.351 0.000
0.351 0.000 0.000
0.000 0.000 0.351
0.500 0.500 0.000
0.000 0.500 0.500
0.500 0.000 0.500
```

Values from the calculation:
E_form (uncorrected): -475 meV/atom


[2]
First-principles (meta-GGA SCAN) data for a crystal of NaSn3 relaxed with PBEsol, as listed in the Alexandria database.

```
NaSn3
1.0
-2.937 1.111 3.370
-0.512 -4.461 1.024
5.378 1.965 0.892
Na Sn
1 3
direct
0.000 0.000 0.000
0.250 0.750 0.500
0.750 0.250 0.500
0.500 0.500 0.000
```


[3]
First-principles (meta-GGA SCAN) data for a crystal of NaHf3Al relaxed with PBEsol, as listed in the Alexandria database.

```
NaHf3Al
1.0
-0.512 -3.494 3.291
-2.801 -2.470 -3.058
3.898 -2.234 -1.765
Na Hf Al
1 3 1
direct
0.000 0.000 0.000
0.000 0.500 0.000
0.000 0.000 0.500
0.500 0.000 0.000
0.500 0.500 0.500
```


[4]
First-principles (meta-GGA SCAN) data for a crystal of Cs3ZnSn relaxed with PBEsol, as listed in the Alexandria database.

```
Cs3ZnSn
1.0
-3.711 2.999 -4.621
-5.105 0.224 4.244
2.072 5.922 2.180
Cs Zn Sn
3 1 1
direct
0.000 0.500 0.000
0.000 0.000 0.500
0.500 0.000 0.000
0.000 0.000 0.000
0.500 0.500 0.500
```


[5]
First-principles (meta-GGA SCAN) data for a crystal of MgCuTc2 relaxed with PBEsol, as listed in the Alexandria database.

```
MgCuTc2
1.0
2.753 0.000 0.000
0.000 3.733 0.000
0.000 0.000 5.585
Cu Mg Tc
1 1 2
direct
0.000 0.000 0.503
0.500 0.500 0.732
0.000 0.000 0.034
0.500 0.500 0.232
```


[6]
First-principles (meta-GGA SCAN) data for a crystal of MnIn2Cl relaxed with PBEsol, as listed in the Alexandria database.

```
MnIn2Cl
1.0
-2.704 -0.784 -1.548
-1.359 -0.824 2.792
-2.587 7.210 0.869
Cl Mn In
1 1 2
direct
0.500 0.500 0.500
0.500 0.500 0.000
0.000 0.000 0.784
0.000 0.000 0.216
```

Values from the calculation:
E_form (uncorrected): -188 meV/atom


Number 1: E_tot -201.8 eV/cell. Number 2: E_tot -112.3 eV/cell. Number 3: E_tot -192.3 eV/cell. Number 4: E_tot -161.4 eV/cell. Number 5: E_tot -89.7 eV/cell. Number 6: E_tot -93.8 eV/cell.